Entry 1:
DFT (PBE) results for crystalline CsDyCdO3 at its relaxed geometry.

Unit cell a=9.2453 b=7.3466 c=7.3466 alpha=28.59 beta=90.00 gamma=90.00
With the nearest neighbours (Å) after each atom.
Atoms (fractional coordinates):
Cd: 0.0000 0.4166 0.4166  4 O 2.11-2.34
Cd: 0.5000 0.5834 0.5834  4 O 2.11-2.34
Cs: 0.5000 0.3048 0.3048  4 O 2.86-3.08
Cs: 0.0000 0.6952 0.6952  4 O 2.86-3.08
Dy: 0.2500 0.0000 0.0000  6 O 2.33
Dy: 0.7500 0.0000 0.0000  6 O 2.33
O: 0.0000 0.0204 0.0204  2 Dy 2.33, 2 Cd 2.34
O: 0.2260 0.3985 0.3985  1 Cd 2.11, 2 Dy 2.33
O: 0.7740 0.3985 0.3985  1 Cd 2.11, 2 Dy 2.33
O: 0.2740 0.6015 0.6015  1 Cd 2.11, 2 Dy 2.33
O: 0.7260 0.6015 0.6015  1 Cd 2.11, 2 Dy 2.33
O: 0.5000 0.9796 0.9796  2 Dy 2.33, 2 Cd 2.34

## Properties
Volume: 238.80 Å³/cell
E_tot: -66.9 eV/cell

=====

Entry 2:
DFT (PBE) results for crystalline BaNaTcOs at its relaxed geometry.

Unit cell a=4.9942 b=4.9942 c=4.9942 alpha=60.00 beta=60.00 gamma=60.00
With the nearest neighbours (Å) after each atom.
Atoms (fractional coordinates):
Ba: 0.2500 0.2500 0.2500  4 Tc 3.06, 4 Os 3.06
Na: 0.7500 0.7500 0.7500  4 Tc 3.06, 4 Os 3.06
Os: 0.0000 0.0000 0.0000  4 Na 3.06, 4 Ba 3.06
Tc: 0.5000 0.5000 0.5000  4 Ba 3.06, 4 Na 3.06

## Properties
Volume: 88.08 Å³/cell
Excess energy over the best structure of this formula in the dataset: 463.0 meV per atom

=====

Entry 3:
DFT (PBE) results for crystalline AlNi at its relaxed geometry.

Unit cell a=3.7665 b=3.7665 c=3.7665 alpha=60.00 beta=60.00 gamma=60.00
With the nearest neighbours (Å) after each atom.
Atoms (fractional coordinates):
Al: 0.0000 0.0000 0.0000  4 Ni 2.31
Ni: 0.2500 0.2500 0.2500  4 Al 2.31

## Properties
Volume: 37.78 Å³/cell
E_tot: -8.4 eV/cell

=====

Entry 4:
DFT (PBE) results for crystalline UCuAu at its relaxed geometry.

Unit cell a=4.5100 b=4.5100 c=4.5100 alpha=60.00 beta=60.00 gamma=60.00
With the nearest neighbours (Å) after each atom.
Atoms (fractional coordinates):
Au: 0.2500 0.2500 0.2500  4 Cu 2.76
Cu: 0.0000 0.0000 0.0000  4 Au 2.76, 4 U 2.76
U: 0.7500 0.7500 0.7500  4 Cu 2.76

## Properties
Volume: 64.87 Å³/cell
Energy relative to the elements: 0.3409 eV per atom
Excess energy over the best structure of this formula in the dataset: 0.0 meV per atom

=====

Entry 5:
DFT (PBE) results for crystalline ScTc2Hg at its relaxed geometry.

Unit cell a=4.5837 b=4.5837 c=4.5837 alpha=60.00 beta=60.00 gamma=60.00
With the nearest neighbours (Å) after each atom.
Atoms (fractional coordinates):
Hg: 0.5000 0.5000 0.5000  4 Tc 2.81, 4 Sc 2.81
Sc: 0.7500 0.7500 0.7500  4 Tc 2.81, 4 Hg 2.81
Tc: 0.0000 0.0000 0.0000  4 Sc 2.81, 4 Tc 2.81
Tc: 0.2500 0.2500 0.2500  4 Hg 2.81, 4 Tc 2.81

## Properties
Volume: 68.10 Å³/cell
Energy relative to the elements: 0.1437 eV per atom

=====

Entry 6:
DFT (PBE) results for crystalline HfCoOs at its relaxed geometry.

Unit cell a=4.1432 b=4.1432 c=4.1432 alpha=60.00 beta=60.00 gamma=60.00
With the nearest neighbours (Å) after each atom.
Atoms (fractional coordinates):
Co: 0.0000 0.0000 0.0000  4 Hf 2.54, 4 Os 2.54
Hf: 0.2500 0.2500 0.2500  4 Co 2.54
Os: 0.7500 0.7500 0.7500  4 Co 2.54

## Properties
Volume: 50.29 Å³/cell
Energy relative to the elements: 0.1419 eV per atom
Excess energy over the best structure of this formula in the dataset: 0.0 meV per atom